No. 1
# BaPrCo

An optimized crystal structure of BaPrCo (PBE, the Alexandria database).

electronic total energy	-0.3240	Ry per atom
energy of formation	194	meV per atom
V	210	Å³/cell
Fermi-level density of states	0.46	states/eV per atom

Unit cell a=7.1538 b=7.1538 c=7.4559 alpha=100.79 beta=100.79 gamma=34.17
Atoms (fractional coordinates):
1 Ba 0.1217 0.1217 0.3635
2 Ba 0.8783 0.8783 0.6365
3 Pr 0.3548 0.3548 0.1065
4 Pr 0.6452 0.6452 0.8935
5 Co 0.2391 0.2391 0.7650
6 Co 0.7609 0.7609 0.2350

No. 2
# BaPr2Co

An optimized crystal structure of BaPr2Co (PBE, the Alexandria database).

electronic total energy	-0.3325	Ry per atom
energy of formation	122	meV per atom
V	152	Å³/cell
Fermi-level density of states	1.11	states/eV per atom

Unit cell a=11.0728 b=11.0728 c=11.0728 alpha=20.92 beta=20.92 gamma=20.92
Atoms (fractional coordinates):
1 Ba 0.0000 0.0000 0.0000
2 Pr 0.1204 0.1204 0.1204
3 Pr 0.8796 0.8796 0.8796
4 Co 0.5000 0.5000 0.5000